[1]
A PBEsol-optimized structure of CuAg3Cl, computed with SCAN.

abc: 4.741 4.741 4.741
angles: 90.00 90.00 90.00
Space group Pm-3m (No. 221)
Inequivalent atoms, fractional coordinates:
1 Cu 0.000 0.000 0.000 [1 per cell]
2 Ag 0.000 0.000 0.500 [3 per cell]
3 Cl 0.500 0.500 0.500 [1 per cell]

final energy	-114.86	eV/cell

[2]
A PBEsol-optimized structure of CuAgCl, computed with SCAN.

abc: 3.1555 3.1555 5.6758
angles: 90.00 90.00 120.00
Space group P3m1 (No. 156)
Inequivalent atoms, fractional coordinates:
1 Cu 0.0000 0.0000 0.0000 [1 per cell]
2 Ag 0.6667 0.3333 0.6686 [1 per cell]
3 Cl 0.3333 0.6667 0.2759 [1 per cell]

final energy	-54.84	eV/cell
relative energy among the computed polymorphs	0.0	meV/atom

[3]
A PBEsol-optimized structure of Rb2ErAgCl6, computed with SCAN.

abc: 10.451 10.451 10.451
angles: 90.00 90.00 90.00
Space group Fm-3m (No. 225)
Inequivalent atoms, fractional coordinates:
1 Rb 0.250 0.250 0.250 [8 per cell]
2 Er 0.000 0.000 0.000 [4 per cell]
3 Ag 0.000 0.000 0.500 [4 per cell]
4 Cl 0.000 0.000 0.246 [24 per cell]

final energy	-765.80	eV/cell

[4]
A PBEsol-optimized structure of Rb2EuAgCl6, computed with SCAN.

abc: 10.550 10.550 10.550
angles: 90.00 90.00 90.00
Space group Fm-3m (No. 225)
Inequivalent atoms, fractional coordinates:
1 Rb 0.250 0.250 0.250 [8 per cell]
2 Eu 0.000 0.000 0.000 [4 per cell]
3 Ag 0.000 0.000 0.500 [4 per cell]
4 Cl 0.000 0.000 0.253 [24 per cell]

final energy	-772.50	eV/cell

no.,theoretical density (g/cm³)
1,6.59
2,7.02
3,3.83
4,3.64